1.
First-principles (PBE-GGA) data for a geometry-optimized AcCoP structure, as listed in Alexandria.

Lattice parameters (Å, degrees): 6.2248 6.2248 6.2248 90.00 90.00 90.00
Fractional coordinates of all 12 atoms:
P: 0.9107 0.0893 0.5893
P: 0.0893 0.5893 0.9107
P: 0.4107 0.4107 0.4107
P: 0.5893 0.9107 0.0893
Co: 0.3455 0.6545 0.1545
Co: 0.8455 0.8455 0.8455
Co: 0.1545 0.3455 0.6545
Co: 0.6545 0.1545 0.3455
Ac: 0.1262 0.1262 0.1262
Ac: 0.8738 0.6262 0.3738
Ac: 0.3738 0.8738 0.6262
Ac: 0.6262 0.3738 0.8738

## Properties
symmetry	P2_13
ΔE to the lowest computed polymorph	0	meV per atom
ΔE_f	-0.873	eV per atom
V	20.10	A^3/atom
E_tot	-6.415	eV/atom

=====

2.
First-principles (PBE-GGA) data for a geometry-optimized CaAc2Ag structure, as listed in Alexandria.

Lattice parameters (Å, degrees): 4.2491 5.8204 5.8204 90.00 90.00 90.00
Fractional coordinates of all 4 atoms:
Ac: 0.0000 0.0000 0.5000
Ac: 0.0000 0.5000 0.0000
Ag: 0.5000 0.0000 0.0000
Ca: 0.5000 0.5000 0.5000

## Properties
symmetry	P4/mmm
ΔE to the lowest computed polymorph	112	meV per atom
ΔE_f	0.005	eV per atom
V	35.99	A^3/atom
E_tot	-3.263	eV/atom

=====

3.
First-principles (PBE-GGA) data for a geometry-optimized KSm2US5 structure, as listed in Alexandria.

Lattice parameters (Å, degrees): 5.0246 7.1559 8.1733 115.96 107.90 90.00
Last column: magnetic moment on the atom in μB.
Fractional coordinates of all 9 atoms:
S: 0.3483 0.6105 0.6966  -0.02
S: 0.6517 0.9139 0.3034  -0.02
S: 0.3483 0.0861 0.6966  -0.02
S: 0.0000 0.0000 0.0000  -0.05
S: 0.6517 0.3895 0.3034  -0.02
Sm: 0.7962 0.7962 0.5924  0.06
Sm: 0.2038 0.2038 0.4076  0.06
U: 0.5000 0.0000 0.0000  2.12
K: 0.0000 0.5000 0.0000  0.00

## Properties
symmetry	Immm
E_form (uncorrected)	-1635	meV/atom
V	27.59	A^3/atom
E_tot	-6.353	eV/atom

=====

4.
First-principles (PBE-GGA) data for a geometry-optimized Tb3Y2UN6 structure, as listed in Alexandria.

Lattice parameters (Å, degrees): 6.0094 6.0094 6.0137 99.59 99.59 119.97
Last column: magnetic moment on the atom in μB.
Fractional coordinates of all 12 atoms:
N: 0.7655 0.7655 0.2365  -0.01
N: 0.6063 0.9203 0.7612  -0.01
N: 0.3937 0.0797 0.2388  -0.01
N: 0.2345 0.2345 0.7635  -0.01
N: 0.9203 0.6063 0.7612  -0.01
N: 0.0797 0.3937 0.2388  -0.01
Y: 0.6663 0.3337 0.0000  0.02
Y: 0.3337 0.6663 0.0000  0.02
Tb: 0.5000 0.5000 0.5000  0.02
Tb: 0.8323 0.1677 0.5000  0.02
Tb: 0.1677 0.8323 0.5000  0.02
U: 0.0000 0.0000 0.0000  0.65

## Properties
symmetry	C2/m
E_form (uncorrected)	-1659	meV/atom
V	14.78	A^3/atom
E_tot	-8.998	eV/atom

=====

5.
First-principles (PBE-GGA) data for a geometry-optimized Hf3SbS structure, as listed in Alexandria.

Lattice parameters (Å, degrees): 5.0702 5.0151 8.3028 90.00 97.84 90.00
Fractional coordinates of all 10 atoms:
Hf: 0.3356 0.2500 0.9604
Hf: 0.4661 0.2500 0.3745
Hf: 0.6644 0.7500 0.0396
Hf: 0.5339 0.7500 0.6255
Hf: 0.0284 0.2500 0.6009
Hf: 0.9716 0.7500 0.3991
S: 0.5573 0.2500 0.6988
S: 0.4427 0.7500 0.3012
Sb: 0.0821 0.7500 0.8204
Sb: 0.9179 0.2500 0.1796

## Properties
symmetry	P2_1/m
ΔE to the lowest computed polymorph	199	meV per atom
E_form (uncorrected)	-588	meV/atom
V	20.91	A^3/atom
E_tot	-8.210	eV/atom

=====

6.
First-principles (PBE-GGA) data for a geometry-optimized Pr12Tm5Tl2 structure, as listed in Alexandria.

Lattice parameters (Å, degrees): 11.0376 8.8577 8.6889 80.66 90.00 128.54
Fractional coordinates of all 19 atoms:
Pr: 0.3880 0.3572 0.1902
Pr: 0.9692 0.3572 0.1902
Pr: 0.3681 0.2100 0.6142
Pr: 0.4179 0.8359 0.6892
Pr: 0.1371 0.2742 0.8767
Pr: 0.8420 0.2100 0.6142
Pr: 0.8629 0.7258 0.1233
Pr: 0.1580 0.7900 0.3859
Pr: 0.0308 0.6428 0.8098
Pr: 0.6120 0.6428 0.8098
Pr: 0.6319 0.7900 0.3859
Pr: 0.5821 0.1641 0.3108
Tl: 0.2581 0.0000 0.0000
Tl: 0.7419 0.0000 0.0000
Tm: 0.3723 0.7447 0.0880
Tm: 0.0000 0.0000 0.5000
Tm: 0.7626 0.5252 0.5344
Tm: 0.6277 0.2553 0.9120
Tm: 0.2374 0.4748 0.4656

## Properties
symmetry	C2/m
ΔE_f	0.022	eV per atom
V	34.21	A^3/atom
E_tot	-4.423	eV/atom

=====

7.
First-principles (PBE-GGA) data for a geometry-optimized Ba2PaTlSe6 structure, as listed in Alexandria.

Lattice parameters (Å, degrees): 7.4870 7.9534 10.7409 90.00 91.16 90.00
Fractional coordinates of all 20 atoms:
Ba: 0.4714 0.4180 0.2537
Ba: 0.5286 0.5820 0.7463
Ba: 0.0286 0.9180 0.2463
Ba: 0.9714 0.0820 0.7537
Se: 0.6990 0.3115 0.5464
Se: 0.1841 0.2043 0.4494
Se: 0.3159 0.7043 0.0506
Se: 0.1989 0.1885 0.0464
Se: 0.3981 0.9799 0.7522
Se: 0.8981 0.5201 0.2522
Se: 0.1019 0.4799 0.7478
Se: 0.3010 0.6885 0.4536
Se: 0.6841 0.2957 0.9494
Se: 0.8159 0.7957 0.5506
Se: 0.6019 0.0201 0.2478
Se: 0.8010 0.8115 0.9536
Pa: 0.5000 0.0000 0.0000
Pa: 0.0000 0.5000 0.5000
Tl: 0.0000 0.5000 0.0000
Tl: 0.5000 0.0000 0.5000

## Properties
symmetry	P2_1/c
E_form (uncorrected)	-1334	meV/atom
V	31.97	A^3/atom
E_tot	-4.996	eV/atom

=====

8.
First-principles (PBE-GGA) data for a geometry-optimized Tm5InFe2 structure, as listed in Alexandria.

Lattice parameters (Å, degrees): 7.2871 7.2871 8.8700 114.25 114.25 90.00
Last column: magnetic moment on the atom in μB.
Fractional coordinates of all 16 atoms:
Tm: 0.9543 0.4543 0.2613  -0.03
Tm: 0.0457 0.5457 0.7387  -0.03
Tm: 0.4543 0.3070 0.2613  -0.03
Tm: 0.6930 0.1930 0.7387  -0.03
Tm: 0.3070 0.8070 0.2613  -0.03
Tm: 0.8070 0.9543 0.2613  -0.03
Tm: 0.0000 0.0000 0.0000  -0.04
Tm: 0.5000 0.5000 0.0000  -0.04
Tm: 0.1930 0.0457 0.7387  -0.03
Tm: 0.5457 0.6930 0.7387  -0.03
Fe: 0.3925 0.8925 0.0000  0.14
Fe: 0.6075 0.1075 0.0000  0.14
Fe: 0.1075 0.3925 0.0000  0.14
Fe: 0.8925 0.6075 0.0000  0.14
In: 0.7500 0.7500 0.5000  0.00
In: 0.2500 0.2500 0.5000  0.00

## Properties
symmetry	I4/mcm
ΔE_f	-0.161	eV per atom
V	23.96	A^3/atom
E_tot	-5.413	eV/atom

=====

9.
First-principles (PBE-GGA) data for a geometry-optimized RbSnB3 structure, as listed in Alexandria.

Lattice parameters (Å, degrees): 4.9218 4.9218 4.9218 90.00 90.00 90.00
Last column: magnetic moment on the atom in μB.
Fractional coordinates of all 5 atoms:
B: 0.0000 0.5000 0.0000  0.06
B: 0.5000 0.0000 0.0000  0.23
B: 0.0000 0.0000 0.5000  0.02
Sn: 0.5000 0.5000 0.5000  0.01
Rb: 0.0000 0.0000 0.0000  0.07

## Properties
symmetry	Pm-3m
ΔE to the lowest computed polymorph	1235	meV per atom
ΔE_f	3.143	eV per atom
V	23.85	A^3/atom
E_tot	-1.857	eV/atom

=====

10.
First-principles (PBE-GGA) data for a geometry-optimized Tb3Pm2Ho2 structure, as listed in Alexandria.

Lattice parameters (Å, degrees): 3.5112 8.5598 8.9436 118.58 101.32 90.00
Fractional coordinates of all 7 atoms:
Pm: 0.5663 0.9120 0.1326
Pm: 0.4337 0.0880 0.8674
Ho: 0.1493 0.3327 0.2986
Ho: 0.8507 0.6673 0.7014
Tb: 0.7883 0.2011 0.5766
Tb: 0.0000 0.5000 0.0000
Tb: 0.2117 0.7989 0.4234

## Properties
symmetry	C2/m
ΔE_f	0.118	eV per atom
V	32.87	A^3/atom
E_tot	-4.531	eV/atom

=====

11.
First-principles (PBE-GGA) data for a geometry-optimized LaBiS2 structure, as listed in Alexandria.

Lattice parameters (Å, degrees): 8.9766 8.9766 8.9766 26.96 26.96 26.96
Fractional coordinates of all 4 atoms:
Bi: 0.0000 0.0000 0.0000
La: 0.5000 0.5000 0.5000
S: 0.1075 0.1075 0.1075
S: 0.8925 0.8925 0.8925

## Properties
symmetry	R-3m
E_form (uncorrected)	-1225	meV/atom
V	32.77	A^3/atom
E_tot	-5.491	eV/atom

=====

12.
First-principles (PBE-GGA) data for a geometry-optimized CaCO3 structure, as listed in Alexandria.

Lattice parameters (Å, degrees): 4.3426 4.9570 5.1635 90.00 90.00 90.00
Fractional coordinates of all 10 atoms:
O: 0.3133 0.5000 0.5000
O: 0.1293 0.2293 0.0000
O: 0.8707 0.2707 0.5000
O: 0.6867 0.0000 0.0000
O: 0.8707 0.7293 0.5000
O: 0.1293 0.7707 0.0000
C: 0.0110 0.5000 0.5000
C: 0.9890 0.0000 0.0000
Ca: 0.3930 0.0000 0.5000
Ca: 0.6070 0.5000 0.0000

## Properties
symmetry	Pmmn
E_form (uncorrected)	-2099	meV/atom
V	11.11	A^3/atom
E_tot	-7.319	eV/atom

=====

Question: Which value of V does entry 1 give?
Answer: 20.10 A^3/atom

=====

Question: Look up the V of the tenth one.
Answer: 32.87 A^3/atom

=====

What did the eleventh record say?
First-principles (PBE-GGA) data for a geometry-optimized LaBiS2 structure, as listed in Alexandria.

Lattice parameters (Å, degrees): 8.9766 8.9766 8.9766 26.96 26.96 26.96
Fractional coordinates of all 4 atoms:
Bi: 0.0000 0.0000 0.0000
La: 0.5000 0.5000 0.5000
S: 0.1075 0.1075 0.1075
S: 0.8925 0.8925 0.8925

## Properties
symmetry	R-3m
E_form (uncorrected)	-1225	meV/atom
V	32.77	A^3/atom
E_tot	-5.491	eV/atom